Record 1
Below is a geometry-optimized NiRu2Br structure, with properties calculated at the PBEsol level.

Computed properties:
* D(E_F): 1.16 states/eV/atom
* E_form (uncorrected): 18.74 kcal/mol of atoms
* final energy: -6.280 eV per atom

Cell lengths 4.2941, 4.2941, 2.9320 Å; angles 90.00, 90.00, 90.00 degrees
Positions (direct):
1 Ni 0.0000 0.0000 0.0000
2 Ru 0.0000 0.5000 0.5000
3 Ru 0.5000 0.0000 0.5000
4 Br 0.5000 0.5000 0.0000

Record 2
Below is a geometry-optimized NiRu2Br structure, with properties calculated at the PBEsol level.

Computed properties:
* D(E_F): 1.07 states/eV/atom
* E_form (uncorrected): 20.75 kcal/mol of atoms
* final energy: -6.193 eV per atom

Cell lengths 4.5232, 4.5232, 4.5232 Å; angles 128.37, 128.37, 76.02 degrees
Positions (direct):
1 Ni 0.0000 0.0000 0.0000
2 Ru 0.2500 0.7500 0.5000
3 Ru 0.5000 0.5000 0.0000
4 Br 0.7500 0.2500 0.5000

Record 3
Below is a geometry-optimized NiRuSeBr2 structure, with properties calculated at the PBEsol level.

Computed properties:
* D(E_F): 1.54 states/eV/atom
* E_form (uncorrected): 20.15 kcal/mol of atoms
* final energy: -3.910 eV per atom

Cell lengths 4.6685, 4.6685, 4.7798 Å; angles 90.00, 90.00, 90.00 degrees
Positions (direct):
1 Ni 0.0000 0.0000 0.0000
2 Ru 0.5000 0.5000 0.5000
3 Se 0.0000 0.0000 0.5000
4 Br 0.0000 0.5000 0.0000
5 Br 0.5000 0.0000 0.0000

Record 4
Below is a geometry-optimized NiS2Br structure, with properties calculated at the PBEsol level.

Computed properties:
* D(E_F): 0.40 states/eV/atom
* E_form (uncorrected): -5.22 kcal/mol of atoms
* final energy: -4.425 eV per atom

Cell lengths 7.3863, 7.3863, 7.3863 Å; angles 27.16, 27.16, 27.16 degrees
Positions (direct):
1 Ni 0.0000 0.0000 0.0000
2 S 0.3846 0.3846 0.3846
3 S 0.6154 0.6154 0.6154
4 Br 0.5000 0.5000 0.5000

Record 5
Below is a geometry-optimized NiSeSBr2 structure, with properties calculated at the PBEsol level.

Computed properties:
* D(E_F): 0.97 states/eV/atom
* E_form (uncorrected): 10.65 kcal/mol of atoms
* final energy: -3.164 eV per atom

Cell lengths 4.6311, 4.6311, 4.7836 Å; angles 90.00, 90.00, 90.00 degrees
Positions (direct):
1 Ni 0.0000 0.0000 0.0000
2 Se 0.0000 0.0000 0.5000
3 S 0.5000 0.5000 0.5000
4 Br 0.0000 0.5000 0.0000
5 Br 0.5000 0.0000 0.0000

Record 6
Below is a geometry-optimized NiSb2Br structure, with properties calculated at the PBEsol level.

Computed properties:
* D(E_F): 0.73 states/eV/atom
* E_form (uncorrected): 2.96 kcal/mol of atoms
* final energy: -4.157 eV per atom

Cell lengths 7.2301, 7.2301, 7.2301 Å; angles 127.69, 127.69, 77.13 degrees
Positions (direct):
1 Ni 0.0000 0.0000 0.0000
2 Ni 0.7500 0.2500 0.5000
3 Sb 0.0330 0.6250 0.9080
4 Sb 0.3750 0.2830 0.4080
5 Sb 0.7170 0.1250 0.0920
6 Sb 0.8750 0.9670 0.5920
7 Br 0.2500 0.7500 0.5000
8 Br 0.5000 0.5000 0.0000

Record 7
Below is a geometry-optimized NiSb2Br structure, with properties calculated at the PBEsol level.

Computed properties:
* D(E_F): 0.39 states/eV/atom
* E_form (uncorrected): -2.00 kcal/mol of atoms
* final energy: -4.372 eV per atom

Cell lengths 8.6924, 8.6924, 8.6924 Å; angles 23.34, 23.34, 23.34 degrees
Positions (direct):
1 Ni 0.0000 0.0000 0.0000
2 Sb 0.2745 0.2745 0.2745
3 Sb 0.5127 0.5127 0.5127
4 Br 0.7218 0.7218 0.7218

Record 8
Below is a geometry-optimized Ni3SbBr structure, with properties calculated at the PBEsol level.

Computed properties:
* D(E_F): 1.62 states/eV/atom
* E_form (uncorrected): 22.39 kcal/mol of atoms
* final energy: -4.009 eV per atom

Cell lengths 4.6700, 4.6700, 4.6700 Å; angles 90.00, 90.00, 90.00 degrees
Positions (direct):
1 Ni 0.0000 0.0000 0.5000
2 Ni 0.0000 0.5000 0.0000
3 Ni 0.5000 0.0000 0.0000
4 Sb 0.0000 0.0000 0.0000
5 Br 0.5000 0.5000 0.5000

Record 9
Below is a geometry-optimized NiSb2Br structure, with properties calculated at the PBEsol level.

Computed properties:
* D(E_F): 0.80 states/eV/atom
* E_form (uncorrected): 9.17 kcal/mol of atoms
* final energy: -3.888 eV per atom

Cell lengths 5.1695, 5.1695, 3.1058 Å; angles 90.00, 90.00, 90.00 degrees
Positions (direct):
1 Ni 0.0000 0.0000 0.0000
2 Sb 0.0000 0.5000 0.5000
3 Sb 0.5000 0.0000 0.5000
4 Br 0.5000 0.5000 0.0000

Record 10
Below is a geometry-optimized NiSb2Br structure, with properties calculated at the PBEsol level.

Computed properties:
* D(E_F): 1.01 states/eV/atom
* E_form (uncorrected): 10.22 kcal/mol of atoms
* final energy: -3.842 eV per atom

Cell lengths 4.9444, 4.9444, 4.9444 Å; angles 60.00, 60.00, 60.00 degrees
Positions (direct):
1 Ni 0.0000 0.0000 0.0000
2 Sb 0.5000 0.5000 0.5000
3 Sb 0.7500 0.7500 0.7500
4 Br 0.2500 0.2500 0.2500

Record 11
Below is a geometry-optimized NiSbBr2 structure, with properties calculated at the PBEsol level.

Computed properties:
* D(E_F): 1.20 states/eV/atom
* E_form (uncorrected): 12.29 kcal/mol of atoms
* final energy: -3.081 eV per atom

Cell lengths 4.9104, 4.9104, 3.4744 Å; angles 90.00, 90.00, 90.00 degrees
Positions (direct):
1 Ni 0.0000 0.0000 0.0000
2 Sb 0.5000 0.5000 0.0000
3 Br 0.0000 0.5000 0.5000
4 Br 0.5000 0.0000 0.5000

Record 12
Below is a geometry-optimized ScNiBr3 structure, with properties calculated at the PBEsol level.

Computed properties:
* D(E_F): 1.38 states/eV/atom
* E_form (uncorrected): -7.27 kcal/mol of atoms
* final energy: -3.990 eV per atom

Cell lengths 4.8150, 4.8150, 4.8150 Å; angles 90.00, 90.00, 90.00 degrees
Positions (direct):
1 Sc 0.0000 0.0000 0.0000
2 Ni 0.5000 0.5000 0.5000
3 Br 0.0000 0.5000 0.5000
4 Br 0.5000 0.0000 0.5000
5 Br 0.5000 0.5000 0.0000

Record 13
Below is a geometry-optimized NiSeBr structure, with properties calculated at the PBEsol level.

Computed properties:
* D(E_F): 0.80 states/eV/atom
* E_form (uncorrected): -5.56 kcal/mol of atoms
* final energy: -4.200 eV per atom

Cell lengths 3.4744, 3.4744, 5.4819 Å; angles 90.00, 90.00, 120.00 degrees
Positions (direct):
1 Ni 0.0000 0.0000 0.0000
2 Se 0.6667 0.3333 0.7726
3 Br 0.3333 0.6667 0.2700

Record 14
Below is a geometry-optimized NiSeBr2 structure, with properties calculated at the PBEsol level.

Computed properties:
* D(E_F): 0.05 states/eV/atom
* E_form (uncorrected): -5.14 kcal/mol of atoms
* final energy: -3.660 eV per atom

Cell lengths 3.7553, 3.7553, 7.6850 Å; angles 97.47, 97.47, 54.83 degrees
Positions (direct):
1 Ni 0.0000 0.0000 0.0000
2 Se 0.3230 0.3230 0.8409
3 Br 0.4667 0.4667 0.5658
4 Br 0.6568 0.6568 0.1823

Record 15
Below is a geometry-optimized NiSeBr structure, with properties calculated at the PBEsol level.

Computed properties:
* D(E_F): 1.54 states/eV/atom
* E_form (uncorrected): 20.20 kcal/mol of atoms
* final energy: -3.083 eV per atom

Cell lengths 4.4623, 4.4623, 4.4623 Å; angles 60.00, 60.00, 60.00 degrees
Positions (direct):
1 Ni 0.0000 0.0000 0.0000
2 Se 0.7500 0.7500 0.7500
3 Br 0.5000 0.5000 0.5000

Record 16
Below is a geometry-optimized Ni3SeBr structure, with properties calculated at the PBEsol level.

Computed properties:
* D(E_F): 1.51 states/eV/atom
* E_form (uncorrected): 12.04 kcal/mol of atoms
* final energy: -4.316 eV per atom

Cell lengths 4.3939, 4.3939, 4.3939 Å; angles 90.00, 90.00, 90.00 degrees
Positions (direct):
1 Ni 0.0000 0.0000 0.5000
2 Ni 0.0000 0.5000 0.0000
3 Ni 0.5000 0.0000 0.0000
4 Se 0.0000 0.0000 0.0000
5 Br 0.5000 0.5000 0.5000

Record 17
Below is a geometry-optimized NiSnSeBr2 structure, with properties calculated at the PBEsol level.

Computed properties:
* D(E_F): 1.35 states/eV/atom
* E_form (uncorrected): 13.57 kcal/mol of atoms
* final energy: -3.013 eV per atom

Cell lengths 5.3845, 5.3845, 5.2904 Å; angles 90.00, 90.00, 90.00 degrees
Positions (direct):
1 Ni 0.0000 0.0000 0.0000
2 Sn 0.5000 0.5000 0.5000
3 Se 0.5000 0.5000 0.0000
4 Br 0.0000 0.5000 0.5000
5 Br 0.5000 0.0000 0.5000

Record 18
Below is a geometry-optimized TiNiSe2Br structure, with properties calculated at the PBEsol level.

Computed properties:
* D(E_F): 1.41 states/eV/atom
* E_form (uncorrected): 3.05 kcal/mol of atoms
* final energy: -4.678 eV per atom

Cell lengths 4.6553, 4.6553, 4.6385 Å; angles 90.00, 90.00, 90.00 degrees
Positions (direct):
1 Ti 0.0000 0.0000 0.0000
2 Ni 0.5000 0.5000 0.5000
3 Se 0.0000 0.5000 0.5000
4 Se 0.5000 0.0000 0.5000
5 Br 0.5000 0.5000 0.0000

Record 19
Below is a geometry-optimized TlNiSe2Br structure, with properties calculated at the PBEsol level.

Computed properties:
* D(E_F): 1.41 states/eV/atom
* E_form (uncorrected): -1.16 kcal/mol of atoms
* final energy: -3.722 eV per atom

Cell lengths 4.6729, 4.6729, 5.1912 Å; angles 90.00, 90.00, 90.00 degrees
Positions (direct):
1 Tl 0.0000 0.0000 0.0000
2 Ni 0.5000 0.5000 0.5000
3 Se 0.0000 0.5000 0.5000
4 Se 0.5000 0.0000 0.5000
5 Br 0.5000 0.5000 0.0000

Record 20
Below is a geometry-optimized NiWSeBr2 structure, with properties calculated at the PBEsol level.

Computed properties:
* D(E_F): 3.19 states/eV/atom
* E_form (uncorrected): 21.49 kcal/mol of atoms
* final energy: -4.579 eV per atom

Cell lengths 5.0173, 5.0173, 4.7940 Å; angles 90.00, 90.00, 90.00 degrees
Positions (direct):
1 Ni 0.0000 0.0000 0.0000
2 W 0.5000 0.5000 0.5000
3 Se 0.5000 0.5000 0.0000
4 Br 0.0000 0.5000 0.5000
5 Br 0.5000 0.0000 0.5000

Record 21
Below is a geometry-optimized SiNiBr structure, with properties calculated at the PBEsol level.

Computed properties:
* D(E_F): 0.54 states/eV/atom
* E_form (uncorrected): 24.53 kcal/mol of atoms
* final energy: -3.528 eV per atom

Cell lengths 4.2828, 4.2828, 4.2828 Å; angles 60.00, 60.00, 60.00 degrees
Positions (direct):
1 Si 0.0000 0.0000 0.0000
2 Ni 0.5000 0.5000 0.5000
3 Br 0.2500 0.2500 0.2500

Record 22
Below is a geometry-optimized Si2NiBr structure, with properties calculated at the PBEsol level.

Computed properties:
* D(E_F): 0.52 states/eV/atom
* E_form (uncorrected): 1.35 kcal/mol of atoms
* final energy: -4.822 eV per atom

Cell lengths 3.9917, 3.9917, 6.9455 Å; angles 118.31, 118.31, 49.31 degrees
Positions (direct):
1 Si 0.0000 0.0000 0.0000
2 Si 0.2057 0.2057 0.8318
3 Ni 0.7749 0.7749 0.1346
4 Br 0.4377 0.4377 0.4428

Record 23
Below is a geometry-optimized SiNiBr2 structure, with properties calculated at the PBEsol level.

Computed properties:
* D(E_F): 0.73 states/eV/atom
* E_form (uncorrected): 0.13 kcal/mol of atoms
* final energy: -3.905 eV per atom

Cell lengths 7.4091, 7.4091, 7.4091 Å; angles 153.56, 153.37, 37.88 degrees
Positions (direct):
1 Si 0.0000 0.0000 0.0000
2 Ni 0.5000 0.5000 0.0000
3 Br 0.1497 0.6497 0.5000
4 Br 0.8503 0.3503 0.5000

Record 24
Below is a geometry-optimized Si2NiBr structure, with properties calculated at the PBEsol level.

Computed properties:
* D(E_F): 0.32 states/eV/atom
* E_form (uncorrected): 3.91 kcal/mol of atoms
* final energy: -4.711 eV per atom

Cell lengths 3.1595, 3.1595, 6.7185 Å; angles 90.00, 90.00, 90.00 degrees
Positions (direct):
1 Si 0.0000 0.0000 0.0000
2 Si 0.5000 0.5000 0.1930
3 Ni 0.5000 0.5000 0.8455
4 Br 0.0000 0.0000 0.6049

Record 25
Below is a geometry-optimized SiNiBr2 structure, with properties calculated at the PBEsol level.

Computed properties:
* D(E_F): 0.60 states/eV/atom
* E_form (uncorrected): 1.72 kcal/mol of atoms
* final energy: -3.836 eV per atom

Cell lengths 3.4951, 3.4951, 7.9319 Å; angles 90.00, 90.00, 119.33 degrees
Positions (direct):
1 Si 0.0000 0.0000 0.0000
2 Ni 0.5000 0.5000 0.8358
3 Br 0.0000 0.0000 0.6323
4 Br 0.5000 0.5000 0.2507

Record 26
Below is a geometry-optimized YSiNi2Br structure, with properties calculated at the PBEsol level.

Computed properties:
* D(E_F): 1.10 states/eV/atom
* E_form (uncorrected): -2.05 kcal/mol of atoms
* final energy: -5.440 eV per atom

Cell lengths 4.2256, 4.2256, 5.5630 Å; angles 90.00, 90.00, 90.00 degrees
Positions (direct):
1 Y 0.0000 0.0000 0.0000
2 Si 0.0000 0.0000 0.5000
3 Ni 0.0000 0.5000 0.5000
4 Ni 0.5000 0.0000 0.5000
5 Br 0.5000 0.5000 0.0000

Record 27
Below is a geometry-optimized Ni2SnBr structure, with properties calculated at the PBEsol level.

Computed properties:
* D(E_F): 0.51 states/eV/atom
* E_form (uncorrected): 8.12 kcal/mol of atoms
* final energy: -4.259 eV per atom

Cell lengths 4.4866, 4.4866, 4.4866 Å; angles 60.00, 60.00, 60.00 degrees
Positions (direct):
1 Ni 0.2500 0.2500 0.2500
2 Ni 0.7500 0.7500 0.7500
3 Sn 0.0000 0.0000 0.0000
4 Br 0.5000 0.5000 0.5000

Record 28
Below is a geometry-optimized Sr2NiBr structure, with properties calculated at the PBEsol level.

Computed properties:
* D(E_F): 0.49 states/eV/atom
* E_form (uncorrected): -10.24 kcal/mol of atoms
* final energy: -3.371 eV per atom

Cell lengths 5.3153, 5.3153, 5.3153 Å; angles 60.00, 60.00, 60.00 degrees
Positions (direct):
1 Sr 0.2500 0.2500 0.2500
2 Sr 0.7500 0.7500 0.7500
3 Ni 0.0000 0.0000 0.0000
4 Br 0.5000 0.5000 0.5000

Record 29
Below is a geometry-optimized SrNi2Br structure, with properties calculated at the PBEsol level.

Computed properties:
* D(E_F): 1.58 states/eV/atom
* E_form (uncorrected): 5.33 kcal/mol of atoms
* final energy: -3.775 eV per atom

Cell lengths 5.6010, 5.6010, 5.6010 Å; angles 138.25, 138.25, 60.52 degrees
Positions (direct):
1 Sr 0.0000 0.0000 0.0000
2 Ni 0.2500 0.7500 0.5000
3 Ni 0.7500 0.2500 0.5000
4 Br 0.5000 0.5000 0.0000

Record 30
Below is a geometry-optimized SrNi2Br structure, with properties calculated at the PBEsol level.

Computed properties:
* D(E_F): 0.81 states/eV/atom
* E_form (uncorrected): -2.31 kcal/mol of atoms
* final energy: -4.107 eV per atom

Cell lengths 4.0725, 4.1312, 4.8470 Å; angles 90.00, 90.00, 90.00 degrees
Positions (direct):
1 Sr 0.0000 0.0000 0.0000
2 Ni 0.5000 0.5000 0.2413
3 Ni 0.5000 0.5000 0.7587
4 Br 0.0000 0.5000 0.5000